1:
Compound: Ac2PtN
Source: Alexandria
Functional: PBE
Structure: relaxed

Calculated values
Space-group type = P4/mmm
Volume = 89.37 Å³/cell

Structure (CIF):
```
data_Ac2PtN
_chemical_formula_sum 'Ac2 Pt1 N1'
_cell_length_a 3.5076
_cell_length_b 3.5076
_cell_length_c 7.2640
_cell_angle_alpha 90.00
_cell_angle_beta 90.00
_cell_angle_gamma 90.00
_space_group_name_H-M_alt 'P 1'
_space_group_IT_number 1
_space_group_name_Hall 'P 1'
loop_
_atom_site_label
_atom_site_type_symbol
_atom_site_fract_x
_atom_site_fract_y
_atom_site_fract_z
Ac1 Ac 0.0000 0.0000 0.2204
Ac2 Ac 0.0000 0.0000 0.7796
Pt1 Pt 0.5000 0.5000 0.5000
N1 N 0.5000 0.5000 0.0000
```

=====

2:
Compound: Ac2PtN
Source: Alexandria
Functional: PBE
Structure: relaxed

Calculated values
Space-group type = R-3m
Volume = 301.66 Å³/cell

Structure (CIF):
```
data_Ac2PtN
_chemical_formula_sum 'Ac6 Pt3 N3'
_cell_length_a 4.0138
_cell_length_b 4.0138
_cell_length_c 21.6216
_cell_angle_alpha 90.00
_cell_angle_beta 90.00
_cell_angle_gamma 120.00
_space_group_name_H-M_alt 'P 1'
_space_group_IT_number 1
_space_group_name_Hall 'P 1'
loop_
_atom_site_label
_atom_site_type_symbol
_atom_site_fract_x
_atom_site_fract_y
_atom_site_fract_z
Ac1 Ac 0.0000 0.0000 0.2391
Ac2 Ac 0.0000 0.0000 0.7609
Ac3 Ac 0.3333 0.6667 0.4276
Ac4 Ac 0.3333 0.6667 0.9057
Ac5 Ac 0.6667 0.3333 0.0943
Ac6 Ac 0.6667 0.3333 0.5724
Pt1 Pt 0.0000 0.0000 0.0000
Pt2 Pt 0.3333 0.6667 0.6667
Pt3 Pt 0.6667 0.3333 0.3333
N1 N 0.0000 0.0000 0.5000
N2 N 0.3333 0.6667 0.1667
N3 N 0.6667 0.3333 0.8333
```

=====

3:
Compound: Ac2PtN
Source: Alexandria
Functional: PBE
Structure: relaxed

Calculated values
Space-group type = R3m
Volume = 301.62 Å³/cell

Structure (CIF):
```
data_Ac2PtN
_chemical_formula_sum 'Ac6 Pt3 N3'
_cell_length_a 3.9543
_cell_length_b 3.9543
_cell_length_c 22.2731
_cell_angle_alpha 90.00
_cell_angle_beta 90.00
_cell_angle_gamma 120.00
_space_group_name_H-M_alt 'P 1'
_space_group_IT_number 1
_space_group_name_Hall 'P 1'
loop_
_atom_site_label
_atom_site_type_symbol
_atom_site_fract_x
_atom_site_fract_y
_atom_site_fract_z
Ac1 Ac 0.0000 0.0000 0.0000
Ac2 Ac 0.0000 0.0000 0.1495
Ac3 Ac 0.3333 0.6667 0.6667
Ac4 Ac 0.3333 0.6667 0.8161
Ac5 Ac 0.6667 0.3333 0.3333
Ac6 Ac 0.6667 0.3333 0.4828
Pt1 Pt 0.0000 0.0000 0.5728
Pt2 Pt 0.3333 0.6667 0.2395
Pt3 Pt 0.6667 0.3333 0.9061
N1 N 0.0000 0.0000 0.3996
N2 N 0.3333 0.6667 0.0663
N3 N 0.6667 0.3333 0.7330
```

=====

Stability, highest: 2

=====

1:
Compound: Ac2Re2N5
Source: Alexandria
Functional: PBE
Structure: relaxed

Calculated values
Space-group type = P4/mmm
Volume = 127.40 Å³/cell

Structure (CIF):
```
data_Ac2Re2N5
_chemical_formula_sum 'Ac2 Re2 N5'
_cell_length_a 4.0150
_cell_length_b 4.0150
_cell_length_c 7.9030
_cell_angle_alpha 90.00
_cell_angle_beta 90.00
_cell_angle_gamma 90.00
_space_group_name_H-M_alt 'P 1'
_space_group_IT_number 1
_space_group_name_Hall 'P 1'
loop_
_atom_site_label
_atom_site_type_symbol
_atom_site_fract_x
_atom_site_fract_y
_atom_site_fract_z
Ac1 Ac 0.0000 0.0000 0.0000
Ac2 Ac 0.0000 0.0000 0.5000
Re1 Re 0.5000 0.5000 0.2476
Re2 Re 0.5000 0.5000 0.7524
N1 N 0.0000 0.5000 0.2663
N2 N 0.0000 0.5000 0.7337
N3 N 0.5000 0.0000 0.2663
N4 N 0.5000 0.0000 0.7337
N5 N 0.5000 0.5000 0.0000
```

=====

2:
Compound: Ac2Re2N5
Source: Alexandria
Functional: PBE
Structure: relaxed

Calculated values
Space-group type = C2/m
Volume = 138.26 Å³/cell

Structure (CIF):
```
data_Ac2Re2N5
_chemical_formula_sum 'Ac2 Re2 N5'
_cell_length_a 6.0458
_cell_length_b 6.0458
_cell_length_c 6.1210
_cell_angle_alpha 105.38
_cell_angle_beta 105.38
_cell_angle_gamma 40.10
_space_group_name_H-M_alt 'P 1'
_space_group_IT_number 1
_space_group_name_Hall 'P 1'
loop_
_atom_site_label
_atom_site_type_symbol
_atom_site_fract_x
_atom_site_fract_y
_atom_site_fract_z
Ac1 Ac 0.1049 0.1049 0.3151
Ac2 Ac 0.8951 0.8951 0.6849
Re1 Re 0.3564 0.3564 0.1277
Re2 Re 0.6436 0.6436 0.8723
N1 N 0.1799 0.1799 0.9316
N2 N 0.3414 0.3414 0.4237
N3 N 0.5000 0.5000 0.0000
N4 N 0.6586 0.6586 0.5763
N5 N 0.8201 0.8201 0.0684
```

=====

Stability, highest: 1

=====

1:
Compound: AcReN2
Source: Alexandria
Functional: PBE
Structure: relaxed

Calculated values
Space-group type = R-3m
Volume = 197.47 Å³/cell

Structure (CIF):
```
data_AcReN2
_chemical_formula_sum 'Ac3 Re3 N6'
_cell_length_a 3.4526
_cell_length_b 3.4526
_cell_length_c 19.1281
_cell_angle_alpha 90.00
_cell_angle_beta 90.00
_cell_angle_gamma 120.00
_space_group_name_H-M_alt 'P 1'
_space_group_IT_number 1
_space_group_name_Hall 'P 1'
loop_
_atom_site_label
_atom_site_type_symbol
_atom_site_fract_x
_atom_site_fract_y
_atom_site_fract_z
Ac1 Ac 0.0000 0.0000 0.0000
Ac2 Ac 0.3333 0.6667 0.6667
Ac3 Ac 0.6667 0.3333 0.3333
Re1 Re 0.0000 0.0000 0.5000
Re2 Re 0.3333 0.6667 0.1667
Re3 Re 0.6667 0.3333 0.8333
N1 N 0.0000 0.0000 0.1279
N2 N 0.0000 0.0000 0.8721
N3 N 0.3333 0.6667 0.5387
N4 N 0.3333 0.6667 0.7946
N5 N 0.6667 0.3333 0.2054
N6 N 0.6667 0.3333 0.4613
```

=====

2:
Compound: AcReN2
Source: Alexandria
Functional: PBE
Structure: relaxed

Calculated values
Space-group type = P4/mmm
Volume = 62.48 Å³/cell

Structure (CIF):
```
data_AcReN2
_chemical_formula_sum 'Ac1 Re1 N2'
_cell_length_a 3.9933
_cell_length_b 3.9933
_cell_length_c 3.9182
_cell_angle_alpha 90.00
_cell_angle_beta 90.00
_cell_angle_gamma 90.00
_space_group_name_H-M_alt 'P 1'
_space_group_IT_number 1
_space_group_name_Hall 'P 1'
loop_
_atom_site_label
_atom_site_type_symbol
_atom_site_fract_x
_atom_site_fract_y
_atom_site_fract_z
Ac1 Ac 0.0000 0.0000 0.0000
Re1 Re 0.5000 0.5000 0.5000
N1 N 0.0000 0.5000 0.5000
N2 N 0.5000 0.0000 0.5000
```

=====

Stability, highest: 2

=====

1:
Compound: Ac2RhN
Source: Alexandria
Functional: PBE
Structure: relaxed

Calculated values
Space-group type = R-3m
Volume = 295.56 Å³/cell

Structure (CIF):
```
data_Ac2RhN
_chemical_formula_sum 'Ac6 Rh3 N3'
_cell_length_a 4.0493
_cell_length_b 4.0493
_cell_length_c 20.8141
_cell_angle_alpha 90.00
_cell_angle_beta 90.00
_cell_angle_gamma 120.00
_space_group_name_H-M_alt 'P 1'
_space_group_IT_number 1
_space_group_name_Hall 'P 1'
loop_
_atom_site_label
_atom_site_type_symbol
_atom_site_fract_x
_atom_site_fract_y
_atom_site_fract_z
Ac1 Ac 0.0000 0.0000 0.2416
Ac2 Ac 0.0000 0.0000 0.7584
Ac3 Ac 0.3333 0.6667 0.4251
Ac4 Ac 0.3333 0.6667 0.9083
Ac5 Ac 0.6667 0.3333 0.0917
Ac6 Ac 0.6667 0.3333 0.5749
Rh1 Rh 0.0000 0.0000 0.0000
Rh2 Rh 0.3333 0.6667 0.6667
Rh3 Rh 0.6667 0.3333 0.3333
N1 N 0.0000 0.0000 0.5000
N2 N 0.3333 0.6667 0.1667
N3 N 0.6667 0.3333 0.8333
```

=====

2:
Compound: Ac2RhN
Source: Alexandria
Functional: PBE
Structure: relaxed

Calculated values
Space-group type = P4/mmm
Volume = 86.88 Å³/cell

Structure (CIF):
```
data_Ac2RhN
_chemical_formula_sum 'Ac2 Rh1 N1'
_cell_length_a 3.4594
_cell_length_b 3.4594
_cell_length_c 7.2597
_cell_angle_alpha 90.00
_cell_angle_beta 90.00
_cell_angle_gamma 90.00
_space_group_name_H-M_alt 'P 1'
_space_group_IT_number 1
_space_group_name_Hall 'P 1'
loop_
_atom_site_label
_atom_site_type_symbol
_atom_site_fract_x
_atom_site_fract_y
_atom_site_fract_z
Ac1 Ac 0.0000 0.0000 0.2196
Ac2 Ac 0.0000 0.0000 0.7804
Rh1 Rh 0.5000 0.5000 0.5000
N1 N 0.5000 0.5000 0.0000
```

=====

Stability, highest: 1

=====

1:
Compound: Ac4Rh2N
Source: Alexandria
Functional: PBE
Structure: relaxed

Calculated values
Space-group type = I4/mmm
Volume = 416.08 Å³/cell

Structure (CIF):
```
data_Ac4Rh2N
_chemical_formula_sum 'Ac8 Rh4 N2'
_cell_length_a 5.1190
_cell_length_b 5.1190
_cell_length_c 15.8784
_cell_angle_alpha 90.00
_cell_angle_beta 90.00
_cell_angle_gamma 90.00
_space_group_name_H-M_alt 'P 1'
_space_group_IT_number 1
_space_group_name_Hall 'P 1'
loop_
_atom_site_label
_atom_site_type_symbol
_atom_site_fract_x
_atom_site_fract_y
_atom_site_fract_z
Ac1 Ac 0.0000 0.0000 0.1931
Ac2 Ac 0.0000 0.0000 0.8069
Ac3 Ac 0.0000 0.5000 0.0000
Ac4 Ac 0.0000 0.5000 0.5000
Ac5 Ac 0.5000 0.0000 0.0000
Ac6 Ac 0.5000 0.0000 0.5000
Ac7 Ac 0.5000 0.5000 0.3069
Ac8 Ac 0.5000 0.5000 0.6931
Rh1 Rh 0.0000 0.0000 0.3606
Rh2 Rh 0.0000 0.0000 0.6394
Rh3 Rh 0.5000 0.5000 0.1394
Rh4 Rh 0.5000 0.5000 0.8606
N1 N 0.0000 0.0000 0.5000
N2 N 0.5000 0.5000 0.0000
```

=====

2:
Compound: Ac4Rh2N
Source: Alexandria
Functional: PBE
Structure: relaxed

Calculated values
Space-group type = R-3m
Volume = 207.50 Å³/cell

Structure (CIF):
```
data_Ac4Rh2N
_chemical_formula_sum 'Ac4 Rh2 N1'
_cell_length_a 14.2508
_cell_length_b 14.2508
_cell_length_c 14.2508
_cell_angle_alpha 16.66
_cell_angle_beta 16.66
_cell_angle_gamma 16.66
_space_group_name_H-M_alt 'P 1'
_space_group_IT_number 1
_space_group_name_Hall 'P 1'
loop_
_atom_site_label
_atom_site_type_symbol
_atom_site_fract_x
_atom_site_fract_y
_atom_site_fract_z
Ac1 Ac 0.1226 0.1226 0.1226
Ac2 Ac 0.2966 0.2966 0.2966
Ac3 Ac 0.7034 0.7034 0.7034
Ac4 Ac 0.8774 0.8774 0.8774
Rh1 Rh 0.4172 0.4172 0.4172
Rh2 Rh 0.5828 0.5828 0.5828
N1 N 0.0000 0.0000 0.0000
```

=====

Stability, highest: 2